! SrCoTeO5 PBE with a Hubbard U optimized geometry; values from VASP
! **Electronic total energy**: -5.962 eV/atom
! **Magnetization**: 3.0 μB/f.u.
&SYSTEM
  ibrav = 0, nat = 16, ntyp = 4
/
ATOMIC_SPECIES
Sr 87.62 Sr.upf
Co 58.93 Co.upf
Te 127.60 Te.upf
O 16.00 O.upf
CELL_PARAMETERS angstrom
3.498 -4.772 0.000
3.498 4.772 0.000
-3.202 0.000 6.848
ATOMIC_POSITIONS crystal
Sr 0.169 0.831 0.750
Sr 0.831 0.169 0.250
Co 0.192 0.808 0.250
Co 0.808 0.192 0.750
Te 0.500 0.500 0.000
Te 0.500 0.500 0.500
O 0.155 0.257 0.911
O 0.216 0.599 0.413
O 0.257 0.155 0.411
O 0.401 0.784 0.087
O 0.434 0.566 0.750
O 0.566 0.434 0.250
O 0.599 0.216 0.913
O 0.743 0.845 0.589
O 0.784 0.401 0.587
O 0.845 0.743 0.089